Entry 1:
A relaxed structure of Ca3GeN, computed with GGA-PBEsol.

Geometry as CIF:
```
data_Ca3GeN
_chemical_formula_sum 'Ca3 Ge1 N1'
_cell_length_a 4.761
_cell_length_b 4.761
_cell_length_c 4.761
_cell_angle_alpha 90.00
_cell_angle_beta 90.00
_cell_angle_gamma 90.00
_space_group_name_H-M_alt 'P m -3 m'
_space_group_IT_number 221
_space_group_name_Hall '-P 4 2 3'
loop_
_atom_site_label
_atom_site_type_symbol
_atom_site_fract_x
_atom_site_fract_y
_atom_site_fract_z
_atom_site_occupancy
Ca1 Ca 0.000 0.000 0.500 1
Ge1 Ge 0.500 0.500 0.500 1
N1 N 0.000 0.000 0.000 1
```

Calculated values
raw total energy = -4.78 eV per atom
total magnetic moment = 0.00 μB per atom

Entry 2:
A relaxed structure of Ca5Ge2N6, computed with GGA-PBEsol.

Geometry as CIF:
```
data_Ca5Ge2N6
_chemical_formula_sum 'Ca20 Ge8 N24'
_cell_length_a 10.152
_cell_length_b 5.963
_cell_length_c 12.951
_cell_angle_alpha 90.00
_cell_angle_beta 99.40
_cell_angle_gamma 90.00
_space_group_name_H-M_alt 'C 1 2/c 1'
_space_group_IT_number 15
loop_
_space_group_symop_operation_xyz
'x,y,z'
'-x,-y,-z'
'-x,y,-z+1/2'
'x,-y,z+1/2'
'x+1/2,y+1/2,z'
'-x+1/2,-y+1/2,-z'
'-x+1/2,y+1/2,-z+1/2'
'x+1/2,-y+1/2,z+1/2'
loop_
_atom_site_label
_atom_site_type_symbol
_atom_site_fract_x
_atom_site_fract_y
_atom_site_fract_z
_atom_site_occupancy
Ca1 Ca 0.000 0.122 0.250 1
Ca2 Ca 0.076 0.247 0.006 1
Ca3 Ca 0.151 0.408 0.716 1
Ge1 Ge 0.220 0.373 0.420 1
N1 N 0.048 0.458 0.370 1
N2 N 0.152 0.027 0.656 1
N3 N 0.229 0.045 0.436 1
```

Calculated values
raw total energy = -6.41 eV per atom
total magnetic moment = 0.00 μB per atom

Entry 3:
A relaxed structure of NaCa2Ge2, computed with GGA-PBEsol.

Geometry as CIF:
```
data_NaCa2Ge2
_chemical_formula_sum 'Na2 Ca4 Ge4'
_cell_length_a 7.753
_cell_length_b 7.753
_cell_length_c 4.184
_cell_angle_alpha 90.00
_cell_angle_beta 90.00
_cell_angle_gamma 90.00
_space_group_name_H-M_alt 'P 4/m b m'
_space_group_IT_number 127
_space_group_name_Hall '-P 4 2ab'
loop_
_atom_site_label
_atom_site_type_symbol
_atom_site_fract_x
_atom_site_fract_y
_atom_site_fract_z
_atom_site_occupancy
Na1 Na 0.000 0.000 0.000 1
Ca1 Ca 0.174 0.326 0.500 1
Ge1 Ge 0.114 0.614 0.000 1
```

Calculated values
raw total energy = -3.60 eV per atom
total magnetic moment = 0.00 μB per atom

Entry 4:
A relaxed structure of Na2CaGe6O14, computed with GGA-PBEsol.

Geometry as CIF:
```
data_Na2CaGe6O14
_chemical_formula_sum 'Na4 Ca2 Ge12 O28'
_cell_length_a 14.022
_cell_length_b 8.209
_cell_length_c 4.873
_cell_angle_alpha 90.00
_cell_angle_beta 90.20
_cell_angle_gamma 90.00
_space_group_name_H-M_alt 'C 1 2 1'
_space_group_IT_number 5
loop_
_space_group_symop_operation_xyz
'x,y,z'
'-x,y,-z'
'x+1/2,y+1/2,z'
'-x+1/2,y+1/2,-z'
loop_
_atom_site_label
_atom_site_type_symbol
_atom_site_fract_x
_atom_site_fract_y
_atom_site_fract_z
_atom_site_occupancy
Na1 Na 0.212 0.000 0.498 1
Ca1 Ca 0.000 0.631 0.500 1
Ge1 Ge 0.000 0.209 0.500 1
Ge2 Ge 0.000 0.971 0.000 1
Ge3 Ge 0.123 0.337 0.005 1
Ge4 Ge 0.164 0.713 0.020 1
O1 O 0.043 0.384 0.734 1
O2 O 0.066 0.065 0.738 1
O3 O 0.073 0.830 0.189 1
O4 O 0.108 0.191 0.266 1
O5 O 0.146 0.522 0.190 1
O6 O 0.153 0.707 0.675 1
O7 O 0.231 0.296 0.830 1
```

Calculated values
raw total energy = -6.58 eV per atom
total magnetic moment = 0.00 μB per atom

Entry 5:
A relaxed structure of Na2CaSn2Ge3O12, computed with GGA-PBEsol.

Geometry as CIF:
```
data_Na2CaSn2Ge3O12
_chemical_formula_sum 'Na16 Ca8 Sn16 Ge24 O96'
_cell_length_a 12.452
_cell_length_b 12.452
_cell_length_c 12.526
_cell_angle_alpha 90.00
_cell_angle_beta 90.00
_cell_angle_gamma 90.00
_space_group_name_H-M_alt 'I 41/a c d'
_space_group_IT_number 142
loop_
_space_group_symop_operation_xyz
'x,y,z'
'-x,-y,-z'
'-y+1/4,x+3/4,z+1/4'
'y+1/4,-x+3/4,-z+1/4'
'-x+1/2,-y,z+1/2'
'x+1/2,y,-z+1/2'
'y+1/4,-x+1/4,z+3/4'
'-y+1/4,x+1/4,-z+3/4'
'x,-y,-z+1/2'
'-x,y,z+1/2'
'-y+1/4,-x+1/4,-z+1/4'
'y+1/4,x+1/4,z+1/4'
'-x+1/2,y,-z'
'x+1/2,-y,z'
'y+1/4,x+3/4,-z+3/4'
'-y+1/4,-x+3/4,z+3/4'
'x+1/2,y+1/2,z+1/2'
'-x+1/2,-y+1/2,-z+1/2'
'-y+3/4,x+1/4,z+3/4'
'y+3/4,-x+1/4,-z+3/4'
'-x,-y+1/2,z'
'x,y+1/2,-z'
'y+3/4,-x+3/4,z+1/4'
'-y+3/4,x+3/4,-z+1/4'
'x+1/2,-y+1/2,-z'
'-x+1/2,y+1/2,z'
'-y+3/4,-x+3/4,-z+3/4'
'y+3/4,x+3/4,z+3/4'
'-x,y+1/2,-z+1/2'
'x,-y+1/2,z+1/2'
'y+3/4,x+1/4,-z+1/4'
'-y+3/4,-x+1/4,z+1/4'
loop_
_atom_site_label
_atom_site_type_symbol
_atom_site_fract_x
_atom_site_fract_y
_atom_site_fract_z
_atom_site_occupancy
Na1 Na 0.128 0.000 0.250 1
Ca1 Ca 0.000 0.250 0.125 1
Sn1 Sn 0.000 0.000 0.000 1
Ge1 Ge 0.000 0.250 0.375 1
Ge2 Ge 0.124 0.000 0.750 1
O1 O 0.034 0.054 0.653 1
O2 O 0.049 0.155 0.967 1
O3 O 0.152 0.038 0.449 1
```

Calculated values
raw total energy = -6.49 eV per atom
total magnetic moment = 0.00 μB per atom

Entry 6:
A relaxed structure of CaNb2Ge2, computed with GGA-PBEsol.

Geometry as CIF:
```
data_CaNb2Ge2
_chemical_formula_sum 'Ca2 Nb4 Ge4'
_cell_length_a 4.954
_cell_length_b 4.954
_cell_length_c 8.417
_cell_angle_alpha 90.00
_cell_angle_beta 90.00
_cell_angle_gamma 90.00
_space_group_name_H-M_alt 'I 4/m m m'
_space_group_IT_number 139
_space_group_name_Hall '-I 4 2'
loop_
_atom_site_label
_atom_site_type_symbol
_atom_site_fract_x
_atom_site_fract_y
_atom_site_fract_z
_atom_site_occupancy
Ca1 Ca 0.000 0.000 0.000 1
Nb1 Nb 0.000 0.000 0.350 1
Ge1 Ge 0.000 0.500 0.250 1
```

Calculated values
raw total energy = -6.80 eV per atom
total magnetic moment = 0.00 μB per atom

Entry 7:
A relaxed structure of Ca5Ni17Ge8, computed with GGA-PBEsol.

Geometry as CIF:
```
data_Ca5Ni17Ge8
_chemical_formula_sum 'Ca10 Ni34 Ge16'
_cell_length_a 3.970
_cell_length_b 24.929
_cell_length_c 8.841
_cell_angle_alpha 90.00
_cell_angle_beta 90.00
_cell_angle_gamma 90.00
_space_group_name_H-M_alt 'A m m 2'
_space_group_IT_number 38
loop_
_space_group_symop_operation_xyz
'x,y,z'
'-x,-y,z'
'-x,y,z'
'x,-y,z'
'x,y+1/2,z+1/2'
'-x,-y+1/2,z+1/2'
'-x,y+1/2,z+1/2'
'x,-y+1/2,z+1/2'
loop_
_atom_site_label
_atom_site_type_symbol
_atom_site_fract_x
_atom_site_fract_y
_atom_site_fract_z
_atom_site_occupancy
Ca1 Ca 0.000 0.000 0.000 1
Ca2 Ca 0.000 0.194 0.766 1
Ca3 Ca 0.500 0.106 0.495 1
Ni1 Ni 0.000 0.049 0.304 1
Ni2 Ni 0.000 0.063 0.729 1
Ni3 Ni 0.000 0.112 0.981 1
Ni4 Ni 0.000 0.201 0.425 1
Ni5 Ni 0.000 0.214 0.083 1
Ni6 Ni 0.500 0.000 0.709 1
Ni7 Ni 0.500 0.085 0.147 1
Ni8 Ni 0.500 0.166 0.995 1
Ni9 Ni 0.500 0.199 0.255 1
Ge1 Ge 0.000 0.000 0.539 1
Ge2 Ge 0.000 0.138 0.236 1
Ge3 Ge 0.500 0.000 0.265 1
Ge4 Ge 0.500 0.084 0.854 1
Ge5 Ge 0.500 0.240 0.504 1
```

Calculated values
raw total energy = -5.63 eV per atom
total magnetic moment = 0.00 μB per atom

Entry 8:
A relaxed structure of Ca2Ni2Ge, computed with GGA-PBEsol.

Geometry as CIF:
```
data_Ca2Ni2Ge
_chemical_formula_sum 'Ca4 Ni4 Ge2'
_cell_length_a 5.389
_cell_length_b 5.389
_cell_length_c 6.880
_cell_angle_alpha 90.00
_cell_angle_beta 90.00
_cell_angle_gamma 90.00
_space_group_name_H-M_alt 'I 4/m m m'
_space_group_IT_number 139
_space_group_name_Hall '-I 4 2'
loop_
_atom_site_label
_atom_site_type_symbol
_atom_site_fract_x
_atom_site_fract_y
_atom_site_fract_z
_atom_site_occupancy
Ca1 Ca 0.000 0.500 0.250 1
Ni1 Ni 0.000 0.000 0.169 1
Ge1 Ge 0.000 0.000 0.500 1
```

Calculated values
raw total energy = -4.43 eV per atom
total magnetic moment = 0.00 μB per atom

Entry 9:
A relaxed structure of CaNiGe2O6, computed with GGA-PBEsol.

Geometry as CIF:
```
data_CaNiGe2O6
_chemical_formula_sum 'Ca4 Ni4 Ge8 O24'
_cell_length_a 10.115
_cell_length_b 8.821
_cell_length_c 5.383
_cell_angle_alpha 90.00
_cell_angle_beta 105.28
_cell_angle_gamma 90.00
_space_group_name_H-M_alt 'C 1 2/c 1'
_space_group_IT_number 15
loop_
_space_group_symop_operation_xyz
'x,y,z'
'-x,-y,-z'
'-x,y,-z+1/2'
'x,-y,z+1/2'
'x+1/2,y+1/2,z'
'-x+1/2,-y+1/2,-z'
'-x+1/2,y+1/2,-z+1/2'
'x+1/2,-y+1/2,z+1/2'
loop_
_atom_site_label
_atom_site_type_symbol
_atom_site_fract_x
_atom_site_fract_y
_atom_site_fract_z
_atom_site_occupancy
Ca1 Ca 0.000 0.196 0.250 1
Ni1 Ni 0.000 0.413 0.750 1
Ge1 Ge 0.216 0.100 0.779 1
O1 O 0.106 0.410 0.130 1
O2 O 0.138 0.269 0.658 1
O3 O 0.139 0.031 0.021 1
```

Calculated values
raw total energy = -6.77 eV per atom
total magnetic moment = 0.20 μB per atom

Entry 10:
A relaxed structure of Ca2ScNiGe, computed with GGA-PBEsol.

Geometry as CIF:
```
data_Ca2ScNiGe
_chemical_formula_sum 'Ca2 Sc1 Ni1 Ge1'
_cell_length_a 5.078
_cell_length_b 5.078
_cell_length_c 4.828
_cell_angle_alpha 90.00
_cell_angle_beta 90.00
_cell_angle_gamma 90.00
_space_group_name_H-M_alt 'P 4/m m m'
_space_group_IT_number 123
_space_group_name_Hall '-P 4 2'
loop_
_atom_site_label
_atom_site_type_symbol
_atom_site_fract_x
_atom_site_fract_y
_atom_site_fract_z
_atom_site_occupancy
Ca1 Ca 0.000 0.500 0.000 1
Sc1 Sc 0.000 0.000 0.500 1
Ni1 Ni 0.000 0.000 0.000 1
Ge1 Ge 0.500 0.500 0.500 1
```

Calculated values
raw total energy = -4.41 eV per atom
total magnetic moment = 0.00 μB per atom

Entry 11:
A relaxed structure of CaGeO3, computed with GGA-PBEsol.

Geometry as CIF:
```
data_CaGeO3
_chemical_formula_sum 'Ca32 Ge32 O96'
_cell_length_a 12.508
_cell_length_b 12.508
_cell_length_c 12.361
_cell_angle_alpha 90.00
_cell_angle_beta 90.00
_cell_angle_gamma 90.00
_space_group_name_H-M_alt 'I 41/a'
_space_group_IT_number 88
loop_
_space_group_symop_operation_xyz
'x,y,z'
'-x,-y,-z'
'-y+3/4,x+1/4,z+1/4'
'y+3/4,-x+1/4,-z+1/4'
'-x+1/2,-y,z+1/2'
'x+1/2,y,-z+1/2'
'y+3/4,-x+3/4,z+3/4'
'-y+3/4,x+3/4,-z+3/4'
'x+1/2,y+1/2,z+1/2'
'-x+1/2,-y+1/2,-z+1/2'
'-y+1/4,x+3/4,z+3/4'
'y+1/4,-x+3/4,-z+3/4'
'-x,-y+1/2,z'
'x,y+1/2,-z'
'y+1/4,-x+1/4,z+1/4'
'-y+1/4,x+1/4,-z+1/4'
loop_
_atom_site_label
_atom_site_type_symbol
_atom_site_fract_x
_atom_site_fract_y
_atom_site_fract_z
_atom_site_occupancy
Ca1 Ca 0.000 0.000 0.000 1
Ca2 Ca 0.000 0.250 0.373 1
Ca3 Ca 0.124 0.003 0.248 1
Ge1 Ge 0.000 0.000 0.500 1
Ge2 Ge 0.000 0.250 0.125 1
Ge3 Ge 0.000 0.250 0.625 1
Ge4 Ge 0.126 0.014 0.743 1
O1 O 0.030 0.067 0.830 1
O2 O 0.042 0.147 0.534 1
O3 O 0.042 0.455 0.360 1
O4 O 0.068 0.334 0.032 1
O5 O 0.140 0.474 0.557 1
O6 O 0.171 0.038 0.051 1
```

Calculated values
raw total energy = -6.94 eV per atom
total magnetic moment = 0.00 μB per atom

Entry 12:
A relaxed structure of CaGeO3, computed with GGA-PBEsol.

Geometry as CIF:
```
data_CaGeO3
_chemical_formula_sum 'Ca4 Ge4 O12'
_cell_length_a 5.304
_cell_length_b 7.458
_cell_length_c 5.263
_cell_angle_alpha 90.00
_cell_angle_beta 90.00
_cell_angle_gamma 90.00
_space_group_name_H-M_alt 'P n m a'
_space_group_IT_number 62
loop_
_space_group_symop_operation_xyz
'x,y,z'
'-x,-y,-z'
'-x+1/2,-y,z+1/2'
'x+1/2,y,-z+1/2'
'x+1/2,-y+1/2,-z+1/2'
'-x+1/2,y+1/2,z+1/2'
'-x,y+1/2,-z'
'x,-y+1/2,z'
loop_
_atom_site_label
_atom_site_type_symbol
_atom_site_fract_x
_atom_site_fract_y
_atom_site_fract_z
_atom_site_occupancy
Ca1 Ca 0.040 0.250 0.009 1
Ge1 Ge 0.000 0.000 0.500 1
O1 O 0.014 0.750 0.428 1
O2 O 0.212 0.538 0.789 1
```

Calculated values
raw total energy = -6.89 eV per atom
total magnetic moment = 0.00 μB per atom